First-principles (PBE-GGA) data for a relaxed Tb2Dy4Er crystal, as listed in Alexandria via LeMat-Bulk.

Results
final energy = -4.601 eV/atom
spin magnetization = 0.00 μB/cell
formation energy = 0.00 eV/atom
N(E_F) = 9.5 states/eV/f.u.
energy above the most stable polymorph in this dataset = 0 meV/atom

Cell lengths 6.1719, 3.5634, 19.9335 Å; angles 90.00, 90.01, 90.00 degrees
Atoms (fractional coordinates):
Tb (0.0000, 0.0000, 0.0000)
Tb (0.0007, 0.0000, 0.7140)
Tb (0.5000, 0.5000, 0.0000)
Tb (0.5007, 0.5000, 0.7140)
Dy (0.1667, 0.5000, 0.1440)
Dy (0.1669, 0.5000, 0.8571)
Dy (0.3338, 0.0000, 0.2878)
Dy (0.3344, 0.0000, 0.5706)
Dy (0.6667, 0.0000, 0.1440)
Dy (0.6669, 0.0000, 0.8571)
Dy (0.8338, 0.5000, 0.2878)
Dy (0.8344, 0.5000, 0.5706)
Er (0.0009, 0.0000, 0.4297)
Er (0.5009, 0.5000, 0.4297)



First-principles (PBE-GGA) data for a relaxed CsPu3F10 crystal, as listed in Alexandria via LeMat-Bulk.

Results
final energy = -7.975 eV/atom
spin magnetization = 30.00 μB/cell
N(E_F) = 39.8 states/eV/f.u.

Cell lengths 8.6847, 8.6847, 8.6847 Å; angles 60.00, 60.00, 60.00 degrees
Atoms (fractional coordinates):
Cs (0.2500, 0.2500, 0.2500)
Cs (0.7500, 0.7500, 0.7500)
Pu (0.2401, 0.2401, 0.7599)
Pu (0.2401, 0.7599, 0.2401)
Pu (0.2401, 0.7599, 0.7599)
Pu (0.7599, 0.2401, 0.2401)
Pu (0.7599, 0.2401, 0.7599)
Pu (0.7599, 0.7599, 0.2401)
F (0.1100, 0.1100, 0.1100)
F (0.1100, 0.1100, 0.6699)
F (0.1100, 0.6699, 0.1100)
F (0.1713, 0.5000, 0.5000)
F (0.1713, 0.5000, 0.8287)
F (0.1713, 0.8287, 0.5000)
F (0.3301, 0.8900, 0.8900)
F (0.5000, 0.1713, 0.5000)
F (0.5000, 0.1713, 0.8287)
F (0.5000, 0.5000, 0.1713)
F (0.5000, 0.5000, 0.8287)
F (0.5000, 0.8287, 0.1713)
F (0.5000, 0.8287, 0.5000)
F (0.6699, 0.1100, 0.1100)
F (0.8287, 0.1713, 0.5000)
F (0.8287, 0.5000, 0.1713)
F (0.8287, 0.5000, 0.5000)
F (0.8900, 0.3301, 0.8900)
F (0.8900, 0.8900, 0.3301)
F (0.8900, 0.8900, 0.8900)